The following is a PBE with a Hubbard U calculation of a relaxed structure of BaFe3C4O12, from Alexandria.

Unit cell a=6.3489 b=6.3489 c=6.3489 alpha=101.80 beta=101.80 gamma=101.80
With the nearest neighbours (Å) after each atom.
Positions (direct):
Ba 0.0000 0.0000 0.0000  6 O 2.64
Fe 0.0000 0.5435 0.4565  6 O 2.10-2.23
Fe 0.4565 0.0000 0.5435  6 O 2.10-2.23
Fe 0.5435 0.4565 0.0000  6 O 2.10-2.23
C 0.0455 0.5000 0.9545  3 O 1.29-1.32
C 0.5000 0.5000 0.5000  3 O 1.31
C 0.5000 0.9545 0.0455  3 O 1.29-1.32
C 0.9545 0.0455 0.5000  3 O 1.29-1.32
O 0.0132 0.5979 0.7966  1 C 1.29
O 0.0883 0.9117 0.5000  1 C 1.32
O 0.2034 0.4021 0.9868  1 C 1.29
O 0.3675 0.6325 0.5000  1 C 1.31
O 0.4021 0.9868 0.2034  1 C 1.29
O 0.5000 0.0883 0.9117  1 C 1.32
O 0.5000 0.3675 0.6325  1 C 1.31
O 0.5979 0.7966 0.0132  1 C 1.29
O 0.6325 0.5000 0.3675  1 C 1.31
O 0.7966 0.0132 0.5979  1 C 1.29
O 0.9117 0.5000 0.0883  1 C 1.32
O 0.9868 0.2034 0.4021  1 C 1.29

- magnetic moment (μB/f.u.) = 12.02
- space group = R32
- VASP energy (eV per atom) = -7.3880
- DOS at the Fermi energy (states/eV per cell) = 0.00